A plane-wave DFT calculation with GGA-PBE was carried out for crystalline Rb2ScIrO6 at its relaxed geometry.

## Properties
The total energy is -6.29 eV/atom. For the magnetization, the calculation gives 0.023 μB/atom.

Cell: 8.0480 8.0480 8.0480 Å, 90.00 90.00 90.00°
With the nearest neighbours (Å) after each atom.
Space group Fm-3m (No. 225)
Inequivalent atoms, fractional coordinates:
Rb: 0.2500 0.2500 0.2500  12 O 2.85
Sc: 0.0000 0.0000 0.0000  6 O 2.10
Ir: 0.0000 0.0000 0.5000  6 O 1.92
O: 0.0000 0.0000 0.2616  1 Ir 1.92, 1 Sc 2.10

A plane-wave DFT calculation with GGA-PBE was carried out for crystalline RbIrSeO at its relaxed geometry.

## Properties
As for the energy above the lowest structure with this stoichiometry: 1087 meV per atom. The total energy is -4.05 eV/atom. For the magnetization, the calculation gives 0.002 μB/atom.

Cell: 4.0793 4.0793 8.8336 Å, 90.00 90.00 90.00°
With the nearest neighbours (Å) after each atom.
Space group P4/nmm (No. 129, origin choice 2)
Inequivalent atoms, fractional coordinates:
Rb: 0.2500 0.7500 0.0000  4 Rb 2.88, 4 Se 3.21
Ir: 0.2500 0.2500 0.3926  4 O 2.25
Se: 0.2500 0.2500 0.7193  4 O 2.81, 5 Ir 2.89-3.05
O: 0.2500 0.7500 0.5000  4 Ir 2.25

A plane-wave DFT calculation with GGA-PBE was carried out for crystalline RbIrSeO at its relaxed geometry.

## Properties
As for the energy above the lowest structure with this stoichiometry: 0 meV per atom. The total energy is -5.14 eV/atom. For the magnetization, the calculation gives 0.000 μB/atom.

Cell: 6.5460 5.9976 10.7724 Å, 90.00 99.92 90.00°
With the nearest neighbours (Å) after each atom.
Space group P2_1 (No. 4)
Inequivalent atoms, fractional coordinates:
Rb: 0.0996 0.0000 0.1047  4 O 2.79-3.03
Rb: 0.1984 0.2323 0.4639  5 Se 3.30-3.55
Ir: 0.3476 0.4745 0.7949  2 O 2.14, 2 Se 2.38
Ir: 0.4920 0.5031 0.0343  4 O 2.03-2.14
Se: 0.3411 0.7219 0.6218  1 Ir 2.38
Se: 0.4994 0.6288 0.2478  2 Ir 2.38-2.41
O: 0.2903 0.2717 0.9482  3 Ir 2.03-2.14
O: 0.3147 0.7345 0.9259  3 Ir 2.04-2.14

A plane-wave DFT calculation with GGA-PBE was carried out for crystalline RbIrSeO at its relaxed geometry.

## Properties
As for the energy above the lowest structure with this stoichiometry: 63 meV per atom. The total energy is -5.08 eV/atom. For the magnetization, the calculation gives 0.177 μB/atom.

Cell: 5.4751 6.3700 12.5653 Å, 90.00 95.00 90.00°
With the nearest neighbours (Å) after each atom.
Space group P2_1/c (No. 14)
Inequivalent atoms, fractional coordinates:
Rb: 0.1843 0.2374 0.4368  2 O 2.83-3.02
Ir: 0.3880 0.7392 0.3347  1 O 1.81
Se: 0.3205 0.5133 0.6998  2 Ir 2.32-2.33
O: 0.2556 0.7311 0.9608  1 Ir 1.81